(1)
VASP calculation (GGA-PBE) on an optimized crystal structure of IrOsW2.

a b c (Å): 4.8514 4.8514 4.8504
angles (deg): 132.39 132.38 69.64
With the nearest neighbours (Å) after each atom.
Fractional coordinates of all 4 atoms:
1 W 0.7500 0.2500 0.5000  4 Os 2.77, 4 Ir 2.79, 4 W 2.79
2 W 0.0000 0.0000 0.0000  4 Ir 2.77, 4 Os 2.79, 4 W 2.79
3 Ir 0.5000 0.5000 0.0000  8 W 2.77-2.79, 4 Os 2.79
4 Os 0.2500 0.7500 0.5000  8 W 2.77-2.79, 4 Ir 2.79

## Properties
* uncorrected energy: -46.2 eV per formula unit

---

(2)
VASP calculation (GGA-PBE) on an optimized crystal structure of Ca2Mg3Hg2.

a b c (Å): 4.5662 5.9989 7.8081
angles (deg): 110.17 90.00 112.37
With the nearest neighbours (Å) after each atom.
Fractional coordinates of all 7 atoms:
1 Ca 0.1396 0.2793 0.7831  4 Hg 3.23-3.29, 6 Mg 3.49-3.61
2 Ca 0.8604 0.7207 0.2169  4 Hg 3.23-3.29, 6 Mg 3.49-3.61
3 Mg 0.3745 0.7491 0.5623  3 Hg 2.91-2.97, 1 Mg 3.17
4 Mg 0.6255 0.2509 0.4377  3 Hg 2.91-2.97, 1 Mg 3.17
5 Mg 0.5000 0.0000 0.0000  4 Hg 2.96, 2 Mg 3.17
6 Hg 0.8464 0.6927 0.7881  5 Mg 2.91-2.97, 2 Ca 3.23
7 Hg 0.1536 0.3073 0.2119  5 Mg 2.91-2.97, 2 Ca 3.23

## Properties
* uncorrected energy: -11.7 eV per formula unit

---

(3)
VASP calculation (GGA-PBE) on an optimized crystal structure of Hf2TePb.

a b c (Å): 5.0653 5.0653 5.0653
angles (deg): 60.00 60.00 60.00
With the nearest neighbours (Å) after each atom.
Fractional coordinates of all 4 atoms:
1 Pb 0.5000 0.5000 0.5000  8 Hf 3.10
2 Hf 0.7500 0.7500 0.7500  4 Pb 3.10, 4 Te 3.10
3 Hf 0.2500 0.2500 0.2500  4 Pb 3.10, 4 Te 3.10
4 Te 0.0000 0.0000 0.0000  8 Hf 3.10

## Properties
* formation energy from raw total energies: -69 meV/atom
* uncorrected energy: -27.0 eV per formula unit

---

| no. | Fermi-level density of states (states/eV per cell) |
| --- | --- |
| 1 | 2.94 |
| 2 | 3.86 |
| 3 | 9.29 |